Entry from Alexandria via LeMat-Bulk: a geometry-optimized WSeF3 structure (GGA+U).

Summary:
The energy relative to the lowest polymorph listed for this composition comes out at 1897 meV per atom. Its space group is Pm-3m. Its total energy is -14.0 eV for the cell shown. Its total magnetization is 2.11 μB/f.u.

POSCAR file:
```
WSeF3
1.0
4.4442 0.0000 0.0000
0.0000 4.4442 0.0000
0.0000 0.0000 4.4442
W F Se
1 3 1
Direct
0.5000 0.5000 0.5000
0.0000 0.0000 0.5000
0.0000 0.5000 0.0000
0.5000 0.0000 0.0000
0.0000 0.0000 0.0000
```